Entry 1:
Material: AgPbAu6
Method: DFT, PBE
State: relaxed

Output
- symmetry = No. 38
- ΔH_f (0 K) (meV per atom) = 11
- total energy (eV/atom) = -3.267

a b c (Å): 5.129 5.907 5.907
angles (deg): 119.96 90.00 90.00
Positions (direct):
1 Ag 0.000 0.084 0.916
2 Pb 0.500 0.416 0.584
3 Au 0.000 0.076 0.413
4 Au 0.000 0.587 0.924
5 Au 0.000 0.587 0.413
6 Au 0.500 0.415 0.083
7 Au 0.500 0.917 0.585
8 Au 0.500 0.917 0.083

Entry 2:
Material: ZnAuCl
Method: DFT, PBE
State: relaxed

Output
- symmetry = No. 107
- total energy (eV/atom) = -2.323
- excess energy over the best structure of this formula in the dataset (kJ per mole of atoms) = 32.9
- energy relative to the elements, uncorrected (kJ/mol of atoms) = -18

a b c (Å): 6.682 6.682 6.682
angles (deg): 153.17 153.17 38.31
Positions (direct):
1 Au 0.961 0.961 0.000
2 Cl 0.708 0.708 0.000
3 Zn 0.332 0.332 0.000

Entry 3:
Material: BeIn2Hg
Method: DFT, PBE
State: relaxed

Output
- symmetry = No. 119
- ΔH_f (0 K) (meV per atom) = 449
- total energy (eV/atom) = -1.928
- excess energy over the best structure of this formula in the dataset (kJ per mole of atoms) = 18.5

a b c (Å): 5.491 5.491 5.491
angles (deg): 132.96 132.96 68.71
Positions (direct):
1 Be 0.500 0.500 0.000
2 Hg 0.750 0.250 0.500
3 In 0.000 0.000 0.000
4 In 0.250 0.750 0.500

Entry 4:
Material: YSc5Cu6
Method: DFT, PBE
State: relaxed

Output
- symmetry = No. 71
- ΔH_f (0 K) (meV per atom) = -262
- total energy (eV/atom) = -5.487

a b c (Å): 4.672 6.551 8.099
angles (deg): 113.85 106.76 90.00
Positions (direct):
1 Y 0.000 0.000 0.000
2 Sc 0.666 0.166 0.333
3 Sc 0.332 0.332 0.664
4 Sc 0.000 0.500 0.000
5 Sc 0.668 0.668 0.336
6 Sc 0.334 0.834 0.667
7 Cu 0.828 0.568 0.656
8 Cu 0.828 0.088 0.656
9 Cu 0.500 0.727 0.000
10 Cu 0.500 0.273 0.000
11 Cu 0.172 0.912 0.344
12 Cu 0.172 0.432 0.344

Entry 5:
Material: Tb2InSe4
Method: DFT, PBE
State: relaxed

Output
- symmetry = No. 12
- total energy (eV/atom) = -5.103
- energy relative to the elements, uncorrected (kJ/mol of atoms) = -135

a b c (Å): 4.133 7.282 8.161
angles (deg): 118.51 104.67 90.00
Positions (direct):
1 Tb 0.733 0.745 0.465
2 Tb 0.267 0.255 0.535
3 In 0.000 0.000 0.000
4 Se 0.873 0.195 0.746
5 Se 0.127 0.805 0.254
6 Se 0.641 0.290 0.282
7 Se 0.359 0.710 0.718

Entry 6:
Material: CuSb2Pt
Method: DFT, PBE
State: relaxed

Output
- symmetry = No. 225
- total energy (eV/atom) = -4.540
- energy relative to the elements, uncorrected (kJ/mol of atoms) = 5

a b c (Å): 4.819 4.819 4.819
angles (deg): 60.00 60.00 60.00
Positions (direct):
1 Sb 0.250 0.250 0.250
2 Sb 0.750 0.750 0.750
3 Cu 0.000 0.000 0.000
4 Pt 0.500 0.500 0.500

Entry 7:
Material: LaMgCoCu
Method: DFT, PBE
State: relaxed

Output
- symmetry = No. 216
- ΔH_f (0 K) (meV per atom) = 38
- total energy (eV/atom) = -4.393

a b c (Å): 4.787 4.787 4.787
angles (deg): 60.00 60.00 60.00
Positions (direct):
1 Mg 0.500 0.500 0.500
2 Co 0.750 0.750 0.750
3 Cu 0.250 0.250 0.250
4 La 0.000 0.000 0.000